1.
## BaSr3Zn2 (PBE)

Data for a relaxed BaSr3Zn2 crystal.

POSCAR file:
```
BaSr3Zn2
1.0
9.637 -2.285 0.000
9.637 2.285 0.000
-7.309 0.000 11.478
Ba Sr Zn
2 6 4
Cartesian
1.269 0.000 2.762
10.696 0.000 8.717
-2.496 0.000 8.562
3.929 0.000 6.385
7.536 0.000 0.767
4.428 0.000 10.711
8.036 0.000 5.093
14.460 0.000 2.916
0.574 0.000 6.180
4.272 0.000 0.435
7.692 0.000 11.043
11.391 0.000 5.299
```

## Properties
ΔH_f (0 K) in eV/f.u.: -0.72
Magnetization in μB/cell: 0.0


2.
## Ba2SrZn (PBE)

Data for a relaxed Ba2SrZn crystal.

POSCAR file:
```
Ba2SrZn
1.0
4.193 0.000 0.000
0.000 4.193 0.000
0.000 0.000 10.630
Ba Sr Zn
2 1 1
Cartesian
0.000 0.000 1.945
0.000 0.000 8.685
2.096 2.096 5.315
2.096 2.096 0.000
```

## Properties
ΔH_f (0 K) in eV/f.u.: -0.36
Magnetization in μB/cell: 0.0


What is the magnetization in the first record? 0.0 μB/cell


Copy entry 1 word for word.
## BaSr3Zn2 (PBE)

Data for a relaxed BaSr3Zn2 crystal.

POSCAR file:
```
BaSr3Zn2
1.0
9.637 -2.285 0.000
9.637 2.285 0.000
-7.309 0.000 11.478
Ba Sr Zn
2 6 4
Cartesian
1.269 0.000 2.762
10.696 0.000 8.717
-2.496 0.000 8.562
3.929 0.000 6.385
7.536 0.000 0.767
4.428 0.000 10.711
8.036 0.000 5.093
14.460 0.000 2.916
0.574 0.000 6.180
4.272 0.000 0.435
7.692 0.000 11.043
11.391 0.000 5.299
```

## Properties
ΔH_f (0 K) in eV/f.u.: -0.72
Magnetization in μB/cell: 0.0